1.
VASP calculation (GGA-PBEsol) on a relaxed structure of Sc5As3.

Cell: 7.154 8.097 10.587 Å, 90.00 90.00 90.00°
Sites, in units of the cell vectors:
As  0.435  0.509  0.172
Sc  0.030  0.250  0.503
Sc  0.332  0.250  0.724
As  0.935  0.009  0.328
As  0.565  0.491  0.828
As  0.084  0.250  0.981
As  0.435  0.991  0.172
Sc  0.692  0.448  0.570
Sc  0.808  0.052  0.070
Sc  0.349  0.750  0.708
Sc  0.192  0.948  0.930
Sc  0.651  0.250  0.292
As  0.584  0.750  0.519
Sc  0.668  0.750  0.276
Sc  0.970  0.750  0.497
Sc  0.832  0.750  0.776
Sc  0.308  0.552  0.430
Sc  0.470  0.250  0.003
Sc  0.168  0.250  0.224
Sc  0.192  0.552  0.930
Sc  0.808  0.448  0.070
As  0.065  0.991  0.672
Sc  0.692  0.052  0.570
As  0.916  0.750  0.019
Sc  0.151  0.750  0.208
As  0.935  0.491  0.328
Sc  0.849  0.250  0.792
Sc  0.530  0.750  0.997
As  0.416  0.250  0.481
As  0.565  0.009  0.828
As  0.065  0.509  0.672
Sc  0.308  0.948  0.430

Results
Calculated formation energy   -1.17 eV/atom

***

2.
VASP calculation (GGA-PBEsol) on a relaxed structure of SrCa2Cd2.

Cell: 3.601 9.112 9.112 Å, 90.00 90.00 90.00°
Sites, in units of the cell vectors:
Cd  0.500  0.163  0.663
Ca  0.000  0.132  0.368
Cd  0.500  0.837  0.337
Sr  0.000  0.500  0.500
Ca  0.000  0.632  0.132
Sr  0.000  0.000  0.000
Cd  0.500  0.663  0.837
Ca  0.000  0.368  0.868
Cd  0.500  0.337  0.163
Ca  0.000  0.868  0.632

Results
Calculated formation energy   -0.24 eV/atom

***

3.
VASP calculation (GGA-PBEsol) on a relaxed structure of SrSbOs2.

Cell: 3.071 3.071 8.403 Å, 90.00 90.00 90.00°
Sites, in units of the cell vectors:
Os  0.000  0.000  0.050
Sb  0.000  0.000  0.448
Sr  0.500  0.500  0.777
Os  0.500  0.500  0.225

Results
Raw formation energy   0.40 eV per atom

***

Number 1: final energy -7.213 eV/atom. Number 2: final energy -1.936 eV/atom. Number 3: final energy -7.309 eV/atom.